Run 1
Crystalline Be2Cu at its relaxed geometry. Source: Alexandria, functional PBE.

Values from the calculation:
* mass density: 4866 kg/m³

Cell lengths 4.528, 3.701, 6.643 Å; angles 90.00, 90.00, 90.00 degrees
Space group Pnma (No. 62)
One atom of each set of equivalent atoms:
Be 0.028 0.250 0.243
Be 0.190 0.250 0.913
Cu 0.195 0.250 0.578



Run 2
Crystalline Be2Cu at its relaxed geometry. Source: Alexandria, functional PBE.

Values from the calculation:
* mass density: 4706 kg/m³

Cell lengths 2.4197, 2.4197, 5.6767 Å; angles 90.00, 90.00, 120.00 degrees
Space group P-3m1 (No. 164)
One atom of each set of equivalent atoms:
Be 0.3333 0.6667 0.1594
Cu 0.0000 0.0000 0.5000



Run 3
Crystalline Be2Cu at its relaxed geometry. Source: Alexandria, functional PBE.

Values from the calculation:
* mass density: 4179 kg/m³

Cell lengths 4.3359, 4.3359, 5.9728 Å; angles 90.00, 90.00, 120.00 degrees
Space group P6/mmm (No. 191)
One atom of each set of equivalent atoms:
Be 0.0000 0.5000 0.1783
Cu 0.0000 0.0000 0.0000
Cu 0.3333 0.6667 0.5000



Most stable = run 1



Run 1
Crystalline Be2Cu at its relaxed geometry. Source: Alexandria, functional PBE.

Values from the calculation:
* mass density: 4712 kg/m³

Cell lengths 2.4420, 2.4420, 16.6984 Å; angles 90.00, 90.00, 120.00 degrees
Space group R-3m (No. 166, hexagonal axes)
One atom of each set of equivalent atoms:
Be 0.0000 0.0000 0.2191
Cu 0.0000 0.0000 0.0000



Run 2
Crystalline Be2Cu at its relaxed geometry. Source: Alexandria, functional PBE.

Values from the calculation:
* mass density: 5019 kg/m³

Cell lengths 4.2500, 4.2500, 13.8031 Å; angles 90.00, 90.00, 120.00 degrees
Space group P6_3/mmc (No. 194)
One atom of each set of equivalent atoms:
Be 0.0000 0.5000 0.0000
Be 0.1669 0.3338 0.2500
Be 0.3333 0.6667 0.1237
Cu 0.0000 0.0000 0.0954
Cu 0.3333 0.6667 0.6567



Run 3
Crystalline Be2Cu at its relaxed geometry. Source: Alexandria, functional PBE.

Values from the calculation:
* mass density: 3589 kg/m³

Cell lengths 5.719, 5.719, 2.307 Å; angles 90.00, 90.00, 90.00 degrees
Space group P4_2/mnm (No. 136)
One atom of each set of equivalent atoms:
Be 0.234 0.234 0.000
Cu 0.000 0.000 0.500



Most stable = run 2



Run 1
Crystalline Be4Cu3 at its relaxed geometry. Source: Alexandria, functional PBE.

Values from the calculation:
* mass density: 5632 kg/m³

Cell lengths 2.653, 2.653, 18.985 Å; angles 90.00, 90.00, 90.00 degrees
Space group I4/mmm (No. 139)
One atom of each set of equivalent atoms:
Be 0.000 0.000 0.071
Be 0.000 0.000 0.367
Cu 0.000 0.000 0.203
Cu 0.000 0.000 0.500



Run 2
Crystalline Be4Cu3 at its relaxed geometry. Source: Alexandria, functional PBE.

Values from the calculation:
* mass density: 4452 kg/m³

Cell lengths 4.389, 4.389, 4.389 Å; angles 90.00, 90.00, 90.00 degrees
Space group Pm-3m (No. 221)
One atom of each set of equivalent atoms:
Be 0.000 0.000 0.000
Be 0.000 0.500 0.500
Cu 0.000 0.000 0.500



Run 3
Crystalline Be4Cu3 at its relaxed geometry. Source: Alexandria, functional PBE.

Values from the calculation:
* mass density: 4552 kg/m³

Cell lengths 4.357, 4.357, 4.357 Å; angles 90.00, 90.00, 90.00 degrees
Space group P-43m (No. 215)
One atom of each set of equivalent atoms:
Be 0.168 0.168 0.832
Cu 0.000 0.500 0.500



Most stable = run 1



Run 1
Crystalline Be3Cu5 at its relaxed geometry. Source: Alexandria, functional PBE.

Values from the calculation:
* mass density: 6832 kg/m³

Cell lengths 6.4893, 6.4893, 4.5953 Å; angles 90.00, 90.00, 120.00 degrees
Space group P6_3/mcm (No. 193)
One atom of each set of equivalent atoms:
Be 0.0000 0.4043 0.2500
Cu 0.0000 0.2401 0.7500
Cu 0.3333 0.6667 0.0000



Run 2
Crystalline Be3Cu5 at its relaxed geometry. Source: Alexandria, functional PBE.

Values from the calculation:
* mass density: 6948 kg/m³

Cell lengths 2.649, 2.649, 11.742 Å; angles 90.00, 90.00, 90.00 degrees
Space group P4/mmm (No. 123)
One atom of each set of equivalent atoms:
Be 0.000 0.000 0.000
Be 0.500 0.500 0.384
Cu 0.000 0.000 0.267
Cu 0.000 0.000 0.500
Cu 0.500 0.500 0.116



Most stable = run 2



Run 1
Crystalline Be3Cu5 at its relaxed geometry. Source: Alexandria, functional PBE.

Values from the calculation:
* mass density: 6861 kg/m³

Cell lengths 5.897, 7.555, 3.746 Å; angles 90.00, 90.00, 90.00 degrees
Space group Cmmm (No. 65)
One atom of each set of equivalent atoms:
Be 0.000 0.000 0.000
Be 0.000 0.263 0.500
Cu 0.000 0.500 0.000
Cu 0.222 0.000 0.500
Cu 0.250 0.250 0.000



Run 2
Crystalline Be3Cu5 at its relaxed geometry. Source: Alexandria, functional PBE.

Values from the calculation:
* mass density: 6882 kg/m³

Cell lengths 8.629, 8.629, 4.469 Å; angles 90.00, 90.00, 90.00 degrees
Space group I4/mcm (No. 140)
One atom of each set of equivalent atoms:
Be 0.000 0.000 0.250
Be 0.165 0.335 0.000
Cu 0.000 0.500 0.250
Cu 0.077 0.219 0.500



Most stable = run 1



Run 1
Crystalline Be6Cu at its relaxed geometry. Source: Alexandria, functional PBE.

Values from the calculation:
* mass density: 3149 kg/m³

Cell lengths 6.742, 4.086, 9.005 Å; angles 90.00, 90.00, 90.00 degrees
Space group Pnma (No. 62)
One atom of each set of equivalent atoms:
Be 0.037 0.250 0.092
Be 0.056 0.504 0.307
Be 0.098 0.750 0.512
Be 0.153 0.250 0.855
Be 0.195 0.750 0.735
Cu 0.244 0.750 0.096



Run 2
Crystalline Be6Cu at its relaxed geometry. Source: Alexandria, functional PBE.

Values from the calculation:
* mass density: 2162 kg/m³

Cell lengths 5.653, 5.653, 5.653 Å; angles 90.00, 90.00, 90.00 degrees
Space group Im-3m (No. 229)
One atom of each set of equivalent atoms:
Be 0.000 0.250 0.500
Cu 0.000 0.000 0.000



Most stable = run 1



Run 1
Crystalline ErBeCu at its relaxed geometry. Source: Alexandria, functional PBE.

Values from the calculation:
* mass density: 8242 kg/m³

Cell lengths 3.098, 3.098, 10.068 Å; angles 90.00, 90.00, 90.00 degrees
Space group I4mm (No. 107)
One atom of each set of equivalent atoms:
Er 0.000 0.000 0.000
Be 0.000 0.000 0.702
Cu 0.000 0.000 0.295



Run 2
Crystalline ErBeCu at its relaxed geometry. Source: Alexandria, functional PBE.

Values from the calculation:
* mass density: 7221 kg/m³

Cell lengths 4.063, 13.670, 15.887 Å; angles 90.00, 90.00, 90.00 degrees
Space group Fddd (No. 70, origin choice 2)
One atom of each set of equivalent atoms:
Er 0.125 0.253 0.125
Be 0.125 0.125 0.258
Cu 0.125 0.125 0.537



Run 3
Crystalline ErBeCu at its relaxed geometry. Source: Alexandria, functional PBE.

Values from the calculation:
* mass density: 7799 kg/m³

Cell lengths 4.0483, 4.0483, 3.5976 Å; angles 90.00, 90.00, 120.00 degrees
Space group P-6m2 (No. 187)
One atom of each set of equivalent atoms:
Er 0.0000 0.0000 0.0000
Be 0.6667 0.3333 0.5000
Cu 0.3333 0.6667 0.5000



Most stable = run 3



Run 1
Crystalline ErBe2Cu9 at its relaxed geometry. Source: Alexandria, functional PBE.

Values from the calculation:
* mass density: 8042 kg/m³

Cell lengths 7.3089, 7.3089, 3.3796 Å; angles 90.00, 90.00, 120.00 degrees
Space group P6/mmm (No. 191)
One atom of each set of equivalent atoms:
Er 0.0000 0.0000 0.0000
Be 0.3333 0.6667 0.0000
Cu 0.0000 0.5000 0.0000
Cu 0.2060 0.4119 0.5000



Run 2
Crystalline ErBe2Cu9 at its relaxed geometry. Source: Alexandria, functional PBE.

Values from the calculation:
* mass density: 8254 kg/m³

Cell lengths 9.838, 9.838, 6.296 Å; angles 90.00, 90.00, 90.00 degrees
Space group I4_1/amd (No. 141, origin choice 2)
One atom of each set of equivalent atoms:
Er 0.000 0.250 0.375
Be 0.000 0.000 0.000
Cu 0.000 0.250 0.875
Cu 0.122 0.048 0.689



Most stable = run 2



Run 1
Crystalline BeCuF3 at its relaxed geometry. Source: Alexandria, functional PBE.

Values from the calculation:
* mass density: 4772 kg/m³

Cell lengths 3.559, 3.559, 3.559 Å; angles 90.00, 90.00, 90.00 degrees
Space group Pm-3m (No. 221)
One atom of each set of equivalent atoms:
Be 0.000 0.000 0.000
Cu 0.500 0.500 0.500
F 0.000 0.000 0.500



Run 2
Crystalline BeCuF3 at its relaxed geometry. Source: Alexandria, functional PBE.

Values from the calculation:
* mass density: 3434 kg/m³

Cell lengths 3.972, 3.972, 3.972 Å; angles 90.00, 90.00, 90.00 degrees
Space group Pm-3m (No. 221)
One atom of each set of equivalent atoms:
Be 0.000 0.000 0.000
Cu 0.500 0.500 0.500
F 0.000 0.500 0.500



Most stable = run 1